# 1
Crystalline LiGeBiRh at its relaxed geometry, computed with PBE.

Summary:
Crystal system: cubic
ΔH_f (0 K): -0.9 eV/f.u.
Magnetic moment: 0.00 μB per formula unit

abc: 6.5961 6.5961 6.5961
angles: 90.00 90.00 90.00
Space group F-43m (No. 216)
Symmetry-distinct sites (fractional):
Li: 0.0000 0.0000 0.0000
Ge: 0.2500 0.2500 0.7500
Bi: 0.2500 0.2500 0.2500
Rh: 0.0000 0.0000 0.5000

# 2
Crystalline Li3GeBi3S8 at its relaxed geometry, computed with PBE.

Summary:
Crystal system: trigonal
Magnetic moment: 0.00 μB per formula unit
ΔE_f (raw): -620 meV per atom

abc: 7.8509 7.8509 18.8415
angles: 90.00 90.00 120.00
Space group R-3m (No. 166, hexagonal axes)
Symmetry-distinct sites (fractional):
Li: 0.0000 0.5000 0.0000
Ge: 0.0000 0.0000 0.5000
Bi: 0.0000 0.5000 0.5000
S: 0.0000 0.0000 0.2551
S: 0.0439 0.5220 0.2453

# 3
Crystalline LiGe2BiS6 at its relaxed geometry, computed with PBE.

Summary:
Crystal system: monoclinic
Magnetic moment: 0.00 μB per formula unit
ΔE_f (raw): -449 meV per atom

abc: 12.5585 11.8845 6.4654
angles: 90.00 102.89 90.00
Space group C2/c (No. 15)
Symmetry-distinct sites (fractional):
Li: 0.0000 0.2086 0.2500
Ge: 0.2011 0.0824 0.7798
Bi: 0.0000 0.3796 0.7500
S: 0.1167 0.4085 0.1737
S: 0.1328 0.2349 0.6004
S: 0.1392 0.0736 0.0839

# 4
Crystalline Li2GeBiSe4 at its relaxed geometry, computed with PBE.

Summary:
Crystal system: orthorhombic
Magnetic moment: 0.00 μB per formula unit
ΔE_f (raw): -618 meV per atom

abc: 9.5268 6.7592 6.6617
angles: 90.00 90.00 90.00
Space group Pmn2_1 (No. 31)
Symmetry-distinct sites (fractional):
Li: 0.2503 0.1811 0.0000
Ge: 0.0000 0.3274 0.5110
Bi: 0.0000 0.6948 0.9863
Se: 0.0000 0.2958 0.8815
Se: 0.0000 0.6824 0.4408
Se: 0.2187 0.1828 0.3830

# 5
Crystalline Li3GeBi3Se8 at its relaxed geometry, computed with PBE.

Summary:
Crystal system: trigonal
Magnetic moment: 0.00 μB per formula unit
ΔE_f (raw): -592 meV per atom

abc: 8.1713 8.1713 19.7948
angles: 90.00 90.00 120.00
Space group R-3m (No. 166, hexagonal axes)
Symmetry-distinct sites (fractional):
Li: 0.0000 0.5000 0.0000
Ge: 0.0000 0.0000 0.5000
Bi: 0.0000 0.5000 0.5000
Se: 0.0000 0.0000 0.2556
Se: 0.0385 0.5193 0.2470

# 6
Crystalline Sr2Li4GeBi3 at its relaxed geometry, computed with PBE.

Summary:
Crystal system: tetragonal
ΔH_f (0 K): -5.9 eV/f.u.
Magnetic moment: 0.00 μB per formula unit

abc: 4.5632 4.5632 12.3780
angles: 90.00 90.00 90.00
Space group P-4m2 (No. 115)
Symmetry-distinct sites (fractional):
Sr: 0.0000 0.5000 0.2417
Li: 0.0000 0.0000 0.5000
Li: 0.0000 0.5000 0.8671
Li: 0.5000 0.5000 0.5000
Ge: 0.5000 0.5000 0.0000
Bi: 0.0000 0.0000 0.0000
Bi: 0.0000 0.5000 0.6441